! PrY2Th | Alexandria via LeMat-Bulk | PBE-GGA | relaxed; values from VASP
! * space-group type: Fm-3m (225)
! * relative energy among the computed polymorphs: 0.48 eV/f.u.
! * V: 33.447 Å³/atom
! * M_tot: 0.00 μB per formula unit
&SYSTEM
  ibrav = 0, nat = 4, ntyp = 3
/
ATOMIC_SPECIES
Pr 140.91 Pr.upf
Y 88.91 Y.upf
Th 232.04 Th.upf
ATOMIC_POSITIONS angstrom
Pr 5.7409 3.3145 2.3437
Y 2.8704 1.6573 1.1719
Y 8.6113 4.9718 3.5156
Th 0.0000 0.0000 0.0000
CELL_PARAMETERS angstrom
5.7409 0.0000 0.0000
2.8704 4.9718 0.0000
2.8704 1.6573 4.6874